! RbUTe4Pt GGA-PBE optimized geometry; values from VASP
&SYSTEM
  ibrav = 0, nat = 14, ntyp = 4
/
ATOMIC_SPECIES
Rb 85.47 Rb.upf
U 238.03 U.upf
Te 127.60 Te.upf
Pt 195.08 Pt.upf
CELL_PARAMETERS angstrom
7.4959 0.0000 0.0000
0.0000 6.2937 0.0000
-3.1924 0.0000 9.7256
ATOMIC_POSITIONS angstrom
Rb 1.4126 1.5734 0.5221
Rb 2.8909 4.7202 9.2035
U 0.2918 1.5734 5.3973
U 4.0117 4.7202 4.3283
Te -2.0716 3.1588 6.7735
Te -2.0716 6.2817 6.7735
Te 1.2820 4.7202 5.8480
Te 2.9764 4.7202 1.4987
Te 1.3271 1.5734 8.2269
Te 3.0215 1.5734 3.8776
Te 6.3750 0.0120 2.9521
Te 6.3750 3.1348 2.9521
Pt 1.0251 4.7202 3.2482
Pt 3.2784 1.5734 6.4774
! space-group type = P2_1/m, No. 11
! crystal system = monoclinic
! D(E_F) = 16.57 states/eV/cell
! total magnetic moment = 2.8 μB/cell
! uncorrected energy = -4.9738 eV per atom
! formation energy from raw total energies = -0.5648 eV per atom

---

! RbYTe2Pt GGA-PBE optimized geometry; values from VASP
&SYSTEM
  ibrav = 0, nat = 5, ntyp = 4
/
ATOMIC_SPECIES
Rb 85.47 Rb.upf
Y 88.91 Y.upf
Te 127.60 Te.upf
Pt 195.08 Pt.upf
CELL_PARAMETERS angstrom
5.9471 0.0000 0.0000
0.0000 5.9471 0.0000
0.0000 0.0000 5.3695
ATOMIC_POSITIONS angstrom
Rb 0.0000 0.0000 0.0000
Y 2.9735 2.9735 2.6848
Te 0.0000 2.9735 2.6848
Te 2.9735 0.0000 2.6848
Pt 2.9735 2.9735 0.0000
! space-group type = P4/mmm, No. 123
! crystal system = tetragonal
! D(E_F) = 6.76 states/eV/cell
! total magnetic moment = 0.0 μB/cell
! uncorrected energy = -4.3632 eV per atom
! formation energy from raw total energies = -0.4120 eV per atom

---

! RbZn2TePt GGA-PBE optimized geometry; values from VASP
&SYSTEM
  ibrav = 0, nat = 5, ntyp = 4
/
ATOMIC_SPECIES
Rb 85.47 Rb.upf
Zn 65.41 Zn.upf
Te 127.60 Te.upf
Pt 195.08 Pt.upf
CELL_PARAMETERS angstrom
5.9558 0.0000 0.0000
0.0000 5.9558 0.0000
0.0000 0.0000 6.7676
ATOMIC_POSITIONS angstrom
Rb 0.0000 0.0000 0.0000
Zn 0.0000 2.9779 0.0000
Zn 2.9779 0.0000 0.0000
Te 0.0000 0.0000 3.3838
Pt 2.9779 2.9779 3.3838
! space-group type = P4/mmm, No. 123
! crystal system = tetragonal
! D(E_F) = 9.71 states/eV/cell
! total magnetic moment = 1.2 μB/cell
! uncorrected energy = -1.1322 eV per atom
! formation energy from raw total energies = 1.4074 eV per atom

---

! RbZnTePt2 GGA-PBE optimized geometry; values from VASP
&SYSTEM
  ibrav = 0, nat = 5, ntyp = 4
/
ATOMIC_SPECIES
Rb 85.47 Rb.upf
Zn 65.41 Zn.upf
Te 127.60 Te.upf
Pt 195.08 Pt.upf
CELL_PARAMETERS angstrom
5.1484 0.0000 0.0000
0.0000 5.1484 0.0000
0.0000 0.0000 5.3993
ATOMIC_POSITIONS angstrom
Rb 0.0000 0.0000 0.0000
Zn 2.5742 2.5742 0.0000
Te 2.5742 2.5742 2.6996
Pt 0.0000 2.5742 2.6996
Pt 2.5742 0.0000 2.6996
! space-group type = P4/mmm, No. 123
! crystal system = tetragonal
! D(E_F) = 1.26 states/eV/cell
! total magnetic moment = 0.0 μB/cell
! uncorrected energy = -3.2914 eV per atom
! formation energy from raw total energies = 0.2016 eV per atom

---

! RbThPt4 GGA-PBE optimized geometry; values from VASP
&SYSTEM
  ibrav = 0, nat = 6, ntyp = 3
/
ATOMIC_SPECIES
Rb 85.47 Rb.upf
Th 232.04 Th.upf
Pt 195.08 Pt.upf
CELL_PARAMETERS angstrom
0.0000 3.9261 3.9261
3.9261 0.0000 3.9261
3.9261 3.9261 0.0000
ATOMIC_POSITIONS angstrom
Rb 0.0000 0.0000 0.0000
Th 5.8891 5.8891 5.8891
Pt 2.9447 2.9447 2.9447
Pt 4.9075 4.9075 2.9447
Pt 4.9075 2.9447 4.9075
Pt 2.9447 4.9075 4.9075
! space-group type = F-43m, No. 216
! crystal system = cubic
! D(E_F) = 3.85 states/eV/cell
! total magnetic moment = 0.0 μB/cell
! uncorrected energy = -6.0168 eV per atom
! formation energy from the elements = -0.59 eV per atom

---

! RbTiPt2 GGA-PBE optimized geometry; values from VASP
&SYSTEM
  ibrav = 0, nat = 8, ntyp = 3
/
ATOMIC_SPECIES
Rb 85.47 Rb.upf
Ti 47.87 Ti.upf
Pt 195.08 Pt.upf
CELL_PARAMETERS angstrom
-3.7961 3.7961 3.7517
3.7961 -3.7961 3.7517
3.7961 3.7961 -3.7517
ATOMIC_POSITIONS angstrom
Rb 0.0000 0.0000 0.0000
Rb 0.0000 3.7961 1.8758
Ti 3.7961 0.0000 1.8758
Ti 0.0000 0.0000 3.7517
Pt 1.8980 -1.2045 2.8137
Pt 2.5915 1.8980 0.9379
Pt 1.8980 5.0006 -0.9379
Pt 1.2045 1.8980 4.6896
! space-group type = I-42d, No. 122
! crystal system = tetragonal
! D(E_F) = 8.29 states/eV/cell
! total magnetic moment = 0.0 μB/cell
! uncorrected energy = -5.1693 eV per atom
! formation energy from the elements = 0.07 eV per atom
! distance to the lowest polymorph of the same formula = 0.000 eV/atom

---

! RbTiPt3 GGA-PBE optimized geometry; values from VASP
&SYSTEM
  ibrav = 0, nat = 5, ntyp = 3
/
ATOMIC_SPECIES
Rb 85.47 Rb.upf
Ti 47.87 Ti.upf
Pt 195.08 Pt.upf
CELL_PARAMETERS angstrom
4.8963 0.0000 0.0000
0.0000 4.8963 0.0000
0.0000 0.0000 4.8963
ATOMIC_POSITIONS angstrom
Rb 0.0000 0.0000 0.0000
Ti 2.4481 2.4481 2.4481
Pt 0.0000 2.4481 2.4481
Pt 2.4481 0.0000 2.4481
Pt 2.4481 2.4481 0.0000
! space-group type = Pm-3m, No. 221
! crystal system = cubic
! D(E_F) = 3.22 states/eV/cell
! total magnetic moment = 0.0 μB/cell
! uncorrected energy = -5.1610 eV per atom
! formation energy from the elements = 0.24 eV per atom
! distance to the lowest polymorph of the same formula = 0.000 eV/atom

---

! RbTi2Pt GGA-PBE optimized geometry; values from VASP
&SYSTEM
  ibrav = 0, nat = 8, ntyp = 3
/
ATOMIC_SPECIES
Rb 85.47 Rb.upf
Ti 47.87 Ti.upf
Pt 195.08 Pt.upf
CELL_PARAMETERS angstrom
-2.7749 2.7749 8.4650
2.7749 -2.7749 8.4650
2.7749 2.7749 -8.4650
ATOMIC_POSITIONS angstrom
Rb 2.7749 1.3874 2.1162
Rb 0.0000 1.3874 6.3487
Ti 0.0000 0.0000 0.0000
Ti 1.3874 1.3874 -4.2325
Ti 1.3874 -1.3874 4.2325
Ti 0.0000 2.7749 0.0000
Pt 2.7749 -1.3874 6.3487
Pt 0.0000 4.1623 2.1162
! space-group type = I4_1/amd, No. 141
! crystal system = tetragonal
! D(E_F) = 11.29 states/eV/cell
! total magnetic moment = 5.2 μB/cell
! uncorrected energy = -5.0212 eV per atom
! formation energy from the elements = 0.68 eV per atom
! distance to the lowest polymorph of the same formula = 0.054 eV/atom